No. 1
Below is a geometry-optimized GdF3 structure, with properties calculated at the PBE level.

POSCAR file:
```
GdF3
1.0
5.4328 0.0000 0.0000
0.0000 5.4328 0.0000
0.0000 0.0000 9.0863
F Gd
12 4
direct
0.1832 0.1832 0.0000
0.8168 0.8168 0.0000
0.7180 0.2820 0.1600
0.2820 0.7180 0.1600
0.2180 0.2180 0.3400
0.7820 0.7820 0.3400
0.6832 0.3168 0.5000
0.3168 0.6832 0.5000
0.2180 0.2180 0.6600
0.7820 0.7820 0.6600
0.7180 0.2820 0.8400
0.2820 0.7180 0.8400
0.0000 0.0000 0.1900
0.5000 0.5000 0.3100
0.5000 0.5000 0.6900
0.0000 0.0000 0.8100
```

Calculated values
- VASP energy (eV per cell) = -104.742
- V (Å³/atom) = 16.76

No. 2
Below is a geometry-optimized TmSiHO4 structure, with properties calculated at the PBE level.

POSCAR file:
```
TmSiHO4
1.0
0.0000 12.8002 0.0000
0.0000 0.0000 15.4601
4.3161 0.0000 0.0000
H O Si Tm
12 48 12 12
direct
0.2451 0.0866 0.1237
0.2451 0.4134 0.1237
0.7886 0.7500 0.1812
0.2886 0.7500 0.3189
0.7451 0.0866 0.3763
0.7451 0.4134 0.3763
0.2549 0.5866 0.6237
0.2549 0.9134 0.6237
0.7114 0.2500 0.6811
0.2114 0.2500 0.8188
0.7549 0.5866 0.8763
0.7549 0.9134 0.8763
0.2323 0.2500 0.0514
0.3695 0.7500 0.0955
0.7754 0.5710 0.1097
0.7754 0.9290 0.1097
0.8070 0.1183 0.1273
0.8070 0.3817 0.1273
0.0485 0.1636 0.1514
0.0485 0.3364 0.1514
0.5888 0.6683 0.1570
0.5888 0.8317 0.1570
0.5775 0.5079 0.2161
0.5775 0.9921 0.2161
0.0775 0.5079 0.2839
0.0775 0.9921 0.2839
0.0888 0.6683 0.3430
0.0888 0.8317 0.3430
0.5485 0.1636 0.3486
0.5485 0.3364 0.3486
0.3070 0.1183 0.3728
0.3070 0.3817 0.3728
0.2754 0.5710 0.3902
0.2754 0.9290 0.3902
0.8695 0.7500 0.4045
0.7323 0.2500 0.4485
0.2677 0.7500 0.5515
0.1305 0.2500 0.5955
0.7246 0.0710 0.6098
0.7246 0.4290 0.6098
0.6930 0.6183 0.6272
0.6930 0.8817 0.6272
0.4515 0.6636 0.6514
0.4515 0.8364 0.6514
0.9112 0.1683 0.6570
0.9112 0.3317 0.6570
0.9225 0.0079 0.7161
0.9225 0.4921 0.7161
0.4225 0.0079 0.7839
0.4225 0.4921 0.7839
0.4112 0.1683 0.8430
0.4112 0.3317 0.8430
0.9515 0.6636 0.8486
0.9515 0.8364 0.8486
0.1930 0.6183 0.8727
0.1930 0.8817 0.8727
0.2246 0.0710 0.8903
0.2246 0.4290 0.8903
0.6305 0.2500 0.9045
0.7677 0.7500 0.9486
0.1606 0.5871 0.2161
0.1606 0.9129 0.2161
0.1185 0.2500 0.2211
0.6185 0.2500 0.2789
0.6606 0.5871 0.2838
0.6606 0.9129 0.2838
0.3394 0.0871 0.7162
0.3394 0.4129 0.7162
0.3815 0.7500 0.7211
0.8815 0.7500 0.7789
0.8394 0.0871 0.7839
0.8394 0.4129 0.7839
0.4360 0.5987 0.1438
0.4360 0.9013 0.1438
0.8875 0.2500 0.2168
0.3874 0.2500 0.2832
0.9360 0.5987 0.3562
0.9360 0.9013 0.3562
0.0640 0.0987 0.6438
0.0640 0.4013 0.6438
0.6126 0.7500 0.7168
0.1125 0.7500 0.7832
0.5640 0.0987 0.8562
0.5640 0.4013 0.8562
```

Calculated values
- excess energy over the best structure of this formula in the dataset (meV/atom) = 104
- V (Å³/atom) = 10.17